DFT (PBE) results for a geometry-optimized LiSn3 structure.

a b c (Å): 7.399 7.399 7.399
angles (deg): 90.00 90.00 90.00
Space group Fm-3m (No. 225)
Inequivalent atoms, fractional coordinates:
Li  0.000  0.000  0.000
Sn  0.000  0.000  0.500
Sn  0.250  0.250  0.250

ρ ... 5.955 g/cm3
Formation energy from the elements ... -0.06 eV/atom